{"formula": "BaLiCd2Cu", "functional": "PBE-GGA", "state": "optimized geometry", "spacegroup": "P4/mmm, No. 123", "formation_energy_mev_per_atom": -90, "total_magnetization_mub_per_fu": 0.0, "lattice": [[-1.0300, -4.9266, -1.1791], [1.5641, -1.4537, 4.7077], [-4.7396, 0.5718, 1.7513]], "species": ["Cd", "Cu", "Li", "Ba", "Cd"], "frac_coords": [[0.5000, 0.0000, 0.0000], [0.0000, 0.0000, 0.0000], [0.0000, 0.0000, 0.5000], [0.5000, 0.5000, 0.5000], [0.0000, 0.5000, 0.0000]]}